1.
This record from Alexandria via LeMat-Bulk describes a relaxed structure of LaRuSe2. The functional is PBE-GGA.

Lattice parameters (Å, degrees): 5.883 5.883 4.407 103.21 103.21 39.80
Sites, in units of the cell vectors:
La (0.000, 0.000, 0.000)
Ru (0.216, 0.216, 0.562)
Se (0.422, 0.422, 0.459)
Se (0.711, 0.711, 0.858)

Properties
E_form (uncorrected) = -768.8 meV/atom
Total magnetic moment = 0.000 μB per cell
Polymorph energy (0 for the lowest one) = 159.1 meV/atom

=====

2.
This record from Alexandria via LeMat-Bulk describes a relaxed structure of Tb2PaRu3. The functional is PBE-GGA.

Lattice parameters (Å, degrees): 7.574 7.574 7.574 154.20 136.89 50.92
Sites, in units of the cell vectors:
Tb (0.167, 0.167, 0.000)
Tb (0.833, 0.833, 0.000)
Pa (0.500, 0.500, 0.000)
Ru (0.000, 0.500, 0.500)
Ru (0.351, 0.851, 0.500)
Ru (0.649, 0.149, 0.500)

Properties
E_form = -14.6 kJ/mol of atoms
Total magnetic moment = 0.000 μB per cell
Polymorph energy (0 for the lowest one) = 286.3 meV/atom